1.
MgPaHg4 | PBE | optimized geometry

Summary:
Its space group is No. 8. For the volume, the calculation gives 144.01 Å³ per cell. The formation energy comes out at 14 meV per atom. As for the magnetization: 1.30 μB/f.u. The density of states at the Fermi level is 5.726 states/eV/cell. Its energy above the most stable polymorph in this dataset is 21 meV/atom.

abc: 5.564 3.276 8.215
angles: 78.46 79.26 90.02
Site moments in Bohr magnetons follow the coordinates.
Positions (direct):
Hg (0.554, 0.335, 0.573)  0.00
Hg (0.953, 0.170, 0.902)  0.01
Hg (0.503, 0.995, 0.252)  0.00
Hg (0.001, 0.490, 0.261)  0.00
Mg (0.049, 0.830, 0.583)  0.00
Pa (0.447, 0.663, 0.918)  1.07

=====

2.
MgPaHg | PBE | optimized geometry

Summary:
Its space group is No. 139. For the volume, the calculation gives 137.00 Å³ per cell. The formation energy comes out at 99 meV per atom. As for the magnetization: 0.00 μB/f.u. The density of states at the Fermi level is 8.060 states/eV/cell. Its energy above the most stable polymorph in this dataset is 28 meV/atom.

abc: 3.102 3.102 14.405
angles: 96.18 96.18 90.00
Positions (direct):
Mg (0.291, 0.291, 0.582)
Mg (0.709, 0.709, 0.418)
Hg (0.865, 0.865, 0.729)
Hg (0.135, 0.135, 0.271)
Pa (0.547, 0.547, 0.094)
Pa (0.453, 0.453, 0.906)

=====

3.
MgPaHg2 | PBE | optimized geometry

Summary:
Its space group is No. 8. For the volume, the calculation gives 92.92 Å³ per cell. The formation energy comes out at -57 meV per atom. As for the magnetization: 0.00 μB/f.u. The density of states at the Fermi level is 3.332 states/eV/cell. Its energy above the most stable polymorph in this dataset is 9 meV/atom.

abc: 3.234 3.234 10.435
angles: 80.99 80.99 59.97
Positions (direct):
Pa (0.500, 0.500, 0.500)
Hg (0.257, 0.257, 0.232)
Hg (0.077, 0.077, 0.768)
Mg (0.666, 0.666, 0.000)

=====

4.
Mg2PaHg | PBE | optimized geometry

Summary:
Its space group is No. 123. For the volume, the calculation gives 91.15 Å³ per cell. The formation energy comes out at 50 meV per atom. As for the magnetization: 0.90 μB/f.u. The density of states at the Fermi level is 5.291 states/eV/cell. Its energy above the most stable polymorph in this dataset is 0 meV/atom.

abc: 3.179 3.179 9.021
angles: 90.00 90.00 90.00
Site moments in Bohr magnetons follow the coordinates.
Positions (direct):
Mg (0.000, 0.000, 0.776)  0.00
Mg (0.000, 0.000, 0.224)  0.00
Pa (0.500, 0.500, 0.500)  0.74
Hg (0.500, 0.500, 0.000)  -0.01

=====

5.
MgPaHg | PBE | optimized geometry

Summary:
Its space group is No. 187. For the volume, the calculation gives 70.44 Å³ per cell. The formation energy comes out at 83 meV per atom. As for the magnetization: 1.10 μB/f.u. The density of states at the Fermi level is 5.016 states/eV/cell. Its energy above the most stable polymorph in this dataset is 12 meV/atom.

abc: 3.157 5.076 5.076
angles: 120.00 90.00 90.00
Site moments in Bohr magnetons follow the coordinates.
Positions (direct):
Pa (0.000, 0.000, 0.000)  0.93
Hg (0.499, 0.667, 0.333)  0.00
Mg (0.500, 0.333, 0.667)  0.00

=====

6.
Mg4PaHg5 | PBE | optimized geometry

Summary:
Its space group is No. 123. For the volume, the calculation gives 219.13 Å³ per cell. The formation energy comes out at -153 meV per atom. As for the magnetization: 0.94 μB/f.u. The density of states at the Fermi level is 7.778 states/eV/cell.

abc: 3.372 3.372 19.266
angles: 90.00 90.00 90.00
Site moments in Bohr magnetons follow the coordinates.
Positions (direct):
Mg (0.000, 0.000, 0.403)  0.00
Mg (0.000, 0.000, 0.210)  0.00
Mg (0.000, 0.000, 0.790)  0.00
Mg (0.000, 0.000, 0.597)  0.00
Hg (0.500, 0.500, 0.500)  0.00
Hg (0.500, 0.500, 0.886)  0.00
Hg (0.500, 0.500, 0.694)  0.00
Hg (0.500, 0.500, 0.114)  0.00
Hg (0.500, 0.500, 0.306)  0.00
Pa (0.000, 0.000, 0.000)  0.82

=====

7.
MgPaHg4 | PBE | optimized geometry

Summary:
Its space group is No. 12. For the volume, the calculation gives 140.97 Å³ per cell. The formation energy comes out at -7 meV per atom. As for the magnetization: 1.13 μB/f.u. The density of states at the Fermi level is 5.840 states/eV/cell. Its energy above the most stable polymorph in this dataset is 0 meV/atom.

abc: 3.280 6.344 8.256
angles: 114.88 78.54 75.02
Site moments in Bohr magnetons follow the coordinates.
Positions (direct):
Pa (0.500, 0.500, 0.500)  0.96
Mg (0.000, 0.000, 0.000)  0.00
Hg (0.649, 0.019, 0.682)  0.00
Hg (0.351, 0.981, 0.318)  0.00
Hg (0.814, 0.525, 0.847)  0.00
Hg (0.186, 0.475, 0.153)  0.00

=====

8.
MgPaHg2 | PBE | optimized geometry

Summary:
Its space group is No. 225. For the volume, the calculation gives 94.78 Å³ per cell. The formation energy comes out at -51 meV per atom. As for the magnetization: 0.96 μB/f.u. The density of states at the Fermi level is 4.900 states/eV/cell. Its energy above the most stable polymorph in this dataset is 14 meV/atom.

abc: 5.118 5.118 5.118
angles: 60.00 60.00 60.00
Site moments in Bohr magnetons follow the coordinates.
Positions (direct):
Pa (0.000, 0.000, 0.000)  0.79
Mg (0.500, 0.500, 0.500)  0.00
Hg (0.750, 0.750, 0.750)  0.02
Hg (0.250, 0.250, 0.250)  0.02

=====

9.
Mg2PaHg | PBE | optimized geometry

Summary:
Its space group is No. 166. For the volume, the calculation gives 96.12 Å³ per cell. The formation energy comes out at 204 meV per atom. As for the magnetization: 0.49 μB/f.u. The density of states at the Fermi level is 4.809 states/eV/cell. Its energy above the most stable polymorph in this dataset is 154 meV/atom.

abc: 3.125 3.125 11.507
angles: 82.20 82.20 60.00
Site moments in Bohr magnetons follow the coordinates.
Positions (direct):
Pa (0.000, 0.000, 0.000)  0.42
Mg (0.906, 0.906, 0.282)  0.00
Mg (0.094, 0.094, 0.718)  0.00
Hg (0.500, 0.500, 0.500)  0.00

=====

10.
MgPaHg2 | PBE | optimized geometry

Summary:
Its space group is No. 123. For the volume, the calculation gives 90.68 Å³ per cell. The formation energy comes out at -65 meV per atom. As for the magnetization: 1.10 μB/f.u. The density of states at the Fermi level is 4.728 states/eV/cell. Its energy above the most stable polymorph in this dataset is 0 meV/atom.

abc: 3.290 3.290 8.375
angles: 90.00 90.00 90.00
Site moments in Bohr magnetons follow the coordinates.
Positions (direct):
Mg (0.500, 0.500, 0.000)  0.00
Pa (0.500, 0.500, 0.500)  0.94
Hg (0.000, 0.000, 0.225)  0.00
Hg (0.000, 0.000, 0.775)  0.00

=====

11.
MgPaHg | PBE | optimized geometry

Summary:
Its space group is No. 107. For the volume, the calculation gives 69.52 Å³ per cell. The formation energy comes out at 71 meV per atom. As for the magnetization: 0.92 μB/f.u. The density of states at the Fermi level is 4.924 states/eV/cell. Its energy above the most stable polymorph in this dataset is 0 meV/atom.

abc: 3.170 3.170 7.273
angles: 102.59 102.59 90.00
Site moments in Bohr magnetons follow the coordinates.
Positions (direct):
Pa (0.002, 0.002, 0.004)  0.77
Mg (0.321, 0.321, 0.642)  0.00
Hg (0.677, 0.677, 0.354)  0.00

=====

12.
MgPaHgPd | PBE | optimized geometry

Summary:
Its space group is No. 216. For the volume, the calculation gives 86.41 Å³ per cell. The formation energy comes out at -242 meV per atom. As for the magnetization: 0.01 μB/f.u. The density of states at the Fermi level is 4.843 states/eV/cell.

abc: 4.962 4.962 4.962
angles: 60.00 60.00 60.00
Positions (direct):
Hg (0.500, 0.500, 0.500)
Pd (0.000, 0.000, 0.000)
Mg (0.750, 0.750, 0.750)
Pa (0.250, 0.250, 0.250)